# 1
An optimized crystal structure of La3TbNd3, computed with PBE-GGA.

Summary:
The energy above the most stable polymorph in this dataset comes out at 0.180 eV/atom. The crystal system is trigonal. The energy of formation comes out at 215 meV per atom. Its theoretical density is 6.6 Mg/m³.

Cell lengths 8.9394, 8.9394, 22.0307 Å; angles 90.00, 90.00, 120.00 degrees
Space group R-3 (No. 148, hexagonal axes)
One atom of each set of equivalent atoms:
La (0.0031, 0.2471, 0.0567) (multiplicity 18)
Tb (0.0000, 0.0000, 0.3504) (multiplicity 6)
Nd (0.0536, 0.4485, 0.8810) (multiplicity 18)

# 2
An optimized crystal structure of AlIn2S, computed with PBE-GGA.

Summary:
The energy above the most stable polymorph in this dataset comes out at 0.191 eV/atom. The crystal system is cubic. Its theoretical density is 5.2 Mg/m³. The calculation puts the energy relative to the elements, uncorrected at 196.5 meV per atom.

Cell lengths 7.1818, 7.1818, 7.1818 Å; angles 90.00, 90.00, 90.00 degrees
Space group Fm-3m (No. 225)
One atom of each set of equivalent atoms:
Al (0.0000, 0.0000, 0.0000) (multiplicity 4)
In (0.2500, 0.2500, 0.2500) (multiplicity 8)
S (0.0000, 0.0000, 0.5000) (multiplicity 4)

# 3
An optimized crystal structure of NpSiPt4, computed with PBE-GGA.

Summary:
The energy above the most stable polymorph in this dataset comes out at 0.150 eV/atom. The crystal system is triclinic. Its theoretical density is 17.1 Mg/m³. The calculation puts the energy relative to the elements, uncorrected at -495.4 meV per atom.

Cell lengths 4.6320, 5.3968, 8.7682 Å; angles 72.13, 78.01, 89.98 degrees
Space group P-1 (No. 2)
One atom of each set of equivalent atoms:
Np (0.2502, 0.1647, 0.9999) (multiplicity 2)
Si (0.0000, 0.5000, 0.5000) (multiplicity 1)
Si (0.5000, 0.0000, 0.5000) (multiplicity 1)
Pt (0.1142, 0.9674, 0.3506) (multiplicity 2)
Pt (0.1717, 0.5471, 0.1963) (multiplicity 2)
Pt (0.3284, 0.7435, 0.8035) (multiplicity 2)
Pt (0.3857, 0.3182, 0.6491) (multiplicity 2)

> Number 2 is which compound?

AlIn2S

> What is the energy above the most stable polymorph in this dataset in the third record?

0.150 eV/atom

> What is the formula in the second record?

AlIn2S

> Look up the energy above the most stable polymorph in this dataset of the second one.

0.191 eV/atom